[1]
! RbAlNi3 (PBE-GGA, optimized geometry); values from VASP
&SYSTEM
  ibrav = 0, nat = 5, ntyp = 3
/
ATOMIC_SPECIES
Ni 58.69 Ni.upf
Rb 85.47 Rb.upf
Al 26.98 Al.upf
ATOMIC_POSITIONS crystal
Ni 0.5000 0.0000 0.0000
Ni 0.0000 0.0000 0.5000
Ni 0.0000 0.5000 0.0000
Rb 0.5000 0.5000 0.5000
Al 0.0000 0.0000 0.0000
CELL_PARAMETERS angstrom
-0.1705 3.1871 -3.3196
-4.4351 -1.0000 -0.7324
-1.2277 3.1700 3.1065
! **Polymorph energy (0 for the lowest one)**: 0 meV/atom
! **Density of states at the Fermi level**: 2.580 states/eV per cell
! **Volume**: 19.53 Å³ per atom
! **ΔE_f**: 0.698 eV/atom
! **Magnetic moment**: 0.000 μB/cell

---

[2]
! CoSi2Ag (PBE-GGA, optimized geometry); values from VASP
&SYSTEM
  ibrav = 0, nat = 4, ntyp = 3
/
ATOMIC_SPECIES
Si 28.09 Si.upf
Ag 107.87 Ag.upf
Co 58.93 Co.upf
ATOMIC_POSITIONS crystal
Si 0.0115 0.0115 0.0115
Si 0.4885 0.4885 0.4885
Ag 0.2500 0.2500 0.2500
Co 0.7500 0.7500 0.7500
CELL_PARAMETERS angstrom
-4.9209 6.4279 1.4447
-5.5701 5.9213 -1.2379
-6.8442 4.4858 0.8092
! **Polymorph energy (0 for the lowest one)**: 44 meV/atom
! **Density of states at the Fermi level**: 2.282 states/eV per cell
! **Volume**: 13.75 Å³ per atom
! **E_form (uncorrected)**: 0.001 eV/atom
! **Magnetic moment**: 0.002 μB/cell

---

[3]
! BeAuBr2 (PBE-GGA, optimized geometry); values from VASP
&SYSTEM
  ibrav = 0, nat = 4, ntyp = 3
/
ATOMIC_SPECIES
Br 79.90 Br.upf
Be 9.01 Be.upf
Au 196.97 Au.upf
ATOMIC_POSITIONS crystal
Br 0.0000 0.0000 0.0000
Br 0.5000 0.5000 0.0000
Be 0.0000 0.5000 0.5000
Au 0.5000 0.0000 0.5000
CELL_PARAMETERS angstrom
4.9219 0.0012 0.0000
-0.0012 4.9219 0.0000
0.0000 0.0000 3.4737
! **Polymorph energy (0 for the lowest one)**: 922 meV/atom
! **Density of states at the Fermi level**: 1.875 states/eV per cell
! **Volume**: 21.04 Å³ per atom
! **E_form (uncorrected)**: 0.648 eV/atom
! **Magnetic moment**: 0.003 μB/cell